# LiYNi (meta-GGA SCAN, PBEsol geometry)
# - DFT total energy (eV per atom) = -15.467
# - polymorph energy (0 for the lowest one) (meV per atom) = 70
# - energy relative to the elements (eV/f.u.) = 0.0
data_LiYNi
_chemical_formula_sum 'Li4 Y4 Ni4'
_cell_length_a 6.2287
_cell_length_b 6.2287
_cell_length_c 6.2287
_cell_angle_alpha 90.00
_cell_angle_beta 90.00
_cell_angle_gamma 90.00
_symmetry_space_group_name_H-M 'F -4 3 m'
_symmetry_Int_Tables_number 216
_symmetry_space_group_name_Hall 'F -4 2 3'
loop_
_atom_site_label
_atom_site_type_symbol
_atom_site_fract_x
_atom_site_fract_y
_atom_site_fract_z
Li1 Li 0.0000 0.0000 0.0000
Y1 Y 0.0000 0.0000 0.5000
Ni1 Ni 0.2500 0.2500 0.7500

***

# ZrPb3Cl (meta-GGA SCAN, PBEsol geometry)
# - DFT total energy (eV per atom) = -52.723
# - raw formation energy (eV per atom) = 0.48
data_ZrPb3Cl
_chemical_formula_sum 'Zr1 Pb3 Cl1'
_cell_length_a 5.2822
_cell_length_b 5.2822
_cell_length_c 5.2822
_cell_angle_alpha 90.00
_cell_angle_beta 90.00
_cell_angle_gamma 90.00
_symmetry_space_group_name_H-M 'P m -3 m'
_symmetry_Int_Tables_number 221
_symmetry_space_group_name_Hall '-P 4 2 3'
loop_
_atom_site_label
_atom_site_type_symbol
_atom_site_fract_x
_atom_site_fract_y
_atom_site_fract_z
Zr1 Zr 0.0000 0.0000 0.0000
Pb1 Pb 0.0000 0.5000 0.5000
Cl1 Cl 0.5000 0.5000 0.5000